(1)
12
Lattice="6.047 0.000 0.000 -3.024 5.237 0.000 0.000 0.000 7.237" Properties=species:S:1:pos:R:3 comment="HoAl2Tl3O6 PBE optimized geometry" dft_energy_ev_per_cell=-72.67 raw_formation_energy_ev_per_fu=-23.757 sg="P-3m1, No. 164" pbc="T T T"
Ho 0.000 0.000 0.000
Al 0.000 3.491 5.832
Al 3.024 1.746 1.405
Tl 0.000 0.000 3.618
Tl 0.000 3.491 1.881
Tl 3.024 1.746 5.356
O 0.000 1.783 5.841
O -1.479 4.345 5.841
O 1.545 0.892 1.396
O 1.479 4.345 5.841
O 4.503 0.892 1.396
O 3.024 3.454 1.396

=====

(2)
12
Lattice="-3.436 3.436 3.236 3.436 -3.436 3.236 3.436 3.436 -3.236" Properties=species:S:1:pos:R:3 comment="HoUAl2O8 PBE optimized geometry" dft_energy_ev_per_cell=-97.53 raw_formation_energy_ev_per_fu=-34.511 sg="I-4m2, No. 119" n_ef_per_ev_atom=0.583 pbc="T T T"
Ho 0.000 0.000 0.000
U 3.436 0.000 1.618
Al 0.000 0.000 3.236
Al 0.000 3.436 1.618
O 2.098 3.436 -1.172
O 1.338 0.000 2.064
O 0.000 2.200 0.375
O 3.436 2.098 1.172
O 0.000 4.673 0.375
O 0.000 1.338 4.409
O -1.237 3.436 2.861
O 1.237 3.436 2.861